Computed, not measured: a geometry-optimized ScPd2Au8 structure at the PBE-GGA level of DFT.

a b c (Å): 7.727 7.727 6.537
angles (deg): 104.29 104.29 30.86
Fractional positions:
1 Sc 0.000 0.000 0.000
2 Pd 0.275 0.275 0.368
3 Pd 0.725 0.725 0.632
4 Au 0.094 0.094 0.451
5 Au 0.182 0.182 0.911
6 Au 0.362 0.362 0.814
7 Au 0.453 0.453 0.271
8 Au 0.547 0.547 0.729
9 Au 0.638 0.638 0.186
10 Au 0.818 0.818 0.089
11 Au 0.906 0.906 0.549

Its space-group type is C2/m (12). The formation enthalpy at 0 K is -27 kJ/mol of atoms.

Computed, not measured: a geometry-optimized ScPd4Au7 structure at the PBE-GGA level of DFT.

a b c (Å): 6.097 6.097 9.695
angles (deg): 118.79 118.79 48.34
Fractional positions:
1 Sc 0.000 0.000 0.000
2 Pd 0.280 0.280 0.679
3 Pd 0.430 0.430 0.225
4 Pd 0.570 0.570 0.775
5 Pd 0.720 0.720 0.321
6 Au 0.071 0.071 0.341
7 Au 0.205 0.205 0.912
8 Au 0.356 0.356 0.449
9 Au 0.500 0.500 0.000
10 Au 0.644 0.644 0.551
11 Au 0.795 0.795 0.088
12 Au 0.929 0.929 0.659

Its space-group type is C2/m (12). The formation enthalpy at 0 K is -4 kJ/mol of atoms.

Computed, not measured: a geometry-optimized ScPdAu structure at the PBE-GGA level of DFT.

a b c (Å): 4.533 4.533 3.021
angles (deg): 90.00 90.00 120.00
Fractional positions:
1 Sc 0.000 0.000 0.000
2 Pd 0.667 0.333 0.747
3 Au 0.333 0.667 0.388

Its space-group type is P3m1 (156). The calculation puts the polymorph energy (0 for the lowest one) at 172.4 meV per atom. The formation enthalpy at 0 K is -63 kJ/mol of atoms.

Computed, not measured: a geometry-optimized Sc4PdAu structure at the PBE-GGA level of DFT.

a b c (Å): 4.627 4.627 6.537
angles (deg): 90.00 90.00 90.00
Fractional positions:
1 Sc 0.000 0.500 0.246
2 Sc 0.000 0.500 0.754
3 Sc 0.500 0.000 0.246
4 Sc 0.500 0.000 0.754
5 Pd 0.000 0.000 0.000
6 Au 0.500 0.500 0.500

Its space-group type is P4/mmm (123). The formation enthalpy at 0 K is -42 kJ/mol of atoms.